PBE-GGA LiCa2GaH, relaxed; density of states at the Fermi level = 0.53 states/eV/atom; V = 105 Å³/cell; energy above the most stable polymorph in this dataset = 187 meV/atom; crystal system = tetragonal
1.0
-2.965 -4.162 -0.510
0.245 -0.796 5.068
-3.242 2.246 0.510
H Ca Ga Li
1 2 1 1
Direct
0.000 0.000 0.000 H
0.000 0.500 0.000 Ca
0.500 0.000 0.000 Ca
0.000 0.000 0.500 Ga
0.500 0.500 0.500 Li

PBE-GGA LiCa2GaH, relaxed; density of states at the Fermi level = 0.34 states/eV/atom; V = 100 Å³/cell; energy above the most stable polymorph in this dataset = 0 meV/atom; crystal system = tetragonal
1.0
-3.979 -3.142 0.188
1.216 -1.815 -4.579
2.228 -2.721 1.670
H Ca Ga Li
1 2 1 1
Direct
0.000 0.000 0.000 H
0.000 0.500 0.000 Ca
0.500 0.000 0.000 Ca
0.500 0.500 0.500 Ga
0.000 0.000 0.500 Li

PBE-GGA Ca2MgGaH, relaxed; density of states at the Fermi level = 0.42 states/eV/atom; V = 107 Å³/cell; energy above the most stable polymorph in this dataset = 75 meV/atom; crystal system = tetragonal
1.0
5.132 0.000 0.000
0.000 5.132 0.000
0.000 0.000 4.073
H Ca Mg Ga
1 2 1 1
Direct
0.000 0.000 0.000 H
0.000 0.500 0.000 Ca
0.500 0.000 0.000 Ca
0.500 0.500 0.500 Mg
0.000 0.000 0.500 Ga

PBE-GGA Ca2MgGaH, relaxed; density of states at the Fermi level = 0.43 states/eV/atom; V = 104 Å³/cell; energy above the most stable polymorph in this dataset = 0 meV/atom; crystal system = tetragonal
1.0
4.866 0.000 0.000
0.000 4.866 0.000
0.000 0.000 4.395
H Ca Mg Ga
1 2 1 1
Direct
0.000 0.000 0.000 H
0.000 0.500 0.000 Ca
0.500 0.000 0.000 Ca
0.000 0.000 0.500 Mg
0.500 0.500 0.500 Ga

PBE-GGA CaGaHN2, relaxed; raw total energy = -20.995 eV per cell; density of states at the Fermi level = 0.46 states/eV/atom; V = 54 Å³/cell; crystal system = tetragonal
1.0
4.102 0.000 0.000
0.000 3.238 0.000
0.000 0.000 4.102
H Ca Ga N
1 1 1 2
Direct
0.000 0.000 0.000 H
0.500 0.500 0.500 Ca
0.000 0.500 0.000 Ga
0.000 0.000 0.500 N
0.500 0.000 0.000 N

PBE-GGA Ca2GaNiH, relaxed; raw total energy = -17.654 eV per cell; density of states at the Fermi level = 0.81 states/eV/atom; V = 90 Å³/cell; crystal system = tetragonal
1.0
5.070 0.000 0.000
0.000 5.070 0.000
0.000 0.000 3.516
Ni Ca Ga H
1 2 1 1
Direct
0.000 0.000 0.500 Ni
0.000 0.500 0.000 Ca
0.500 0.000 0.000 Ca
0.500 0.500 0.500 Ga
0.000 0.000 0.000 H